No. 1
This record from Alexandria via LeMat-Bulk describes crystalline Np2AlGa6 at its relaxed geometry. The functional is PBE-GGA.

Properties
**Symmetry**: P4/mmm
**ΔE_f**: 89 meV/atom
**Total moment**: 8.325 μB per formula unit
**ρ**: 8.4 g cm⁻³
**Crystal system**: tetragonal

Unit cell a=4.6814 b=4.6814 c=8.3413 alpha=90.00 beta=90.00 gamma=90.00
Closest atoms and distances in Å follow each position.
Sites, in units of the cell vectors:
Np 0.5000 0.5000 0.7547  12 Ga 3.11-3.35
Np 0.5000 0.5000 0.2453  12 Ga 3.11-3.35
Al 0.0000 0.0000 0.0000  6 Ga 2.34-2.57
Ga 0.5000 0.0000 0.0000  2 Al 2.34
Ga 0.5000 0.0000 0.5000  4 Ga 2.83, 4 Np 3.16
Ga 0.0000 0.5000 0.0000  2 Al 2.34
Ga 0.0000 0.5000 0.5000  4 Ga 2.83, 4 Np 3.16
Ga 0.0000 0.0000 0.6915  1 Al 2.57, 4 Ga 2.83
Ga 0.0000 0.0000 0.3085  1 Al 2.57, 4 Ga 2.83

No. 2
This record from Alexandria via LeMat-Bulk describes crystalline TmSc2Ga2Cu2 at its relaxed geometry. The functional is PBE-GGA.

Properties
**Symmetry**: R-3m
**ΔE_f**: -414 meV/atom
**Total moment**: 0.000 μB per formula unit
**ρ**: 6.5 g cm⁻³
**Crystal system**: trigonal

Unit cell a=4.2951 b=4.2951 c=8.7755 alpha=75.83 beta=75.83 gamma=60.00
Closest atoms and distances in Å follow each position.
Sites, in units of the cell vectors:
Tm 0.0000 0.0000 0.0000  6 Cu 3.10, 6 Ga 3.16, 2 Sc 3.23
Sc 0.1278 0.1278 0.6166  3 Ga 2.79, 3 Cu 2.83
Sc 0.8722 0.8722 0.3834  3 Ga 2.79, 3 Cu 2.83
Ga 0.7441 0.7441 0.7676  3 Cu 2.48
Ga 0.2559 0.2559 0.2324  3 Cu 2.48
Cu 0.5933 0.5933 0.2202  3 Ga 2.48
Cu 0.4067 0.4067 0.7798  3 Ga 2.48

No. 3
This record from Alexandria via LeMat-Bulk describes crystalline Sc2Pt3Au3 at its relaxed geometry. The functional is PBE-GGA.

Properties
**Symmetry**: R32
**ΔE_f**: -761 meV/atom
**Total moment**: 0.000 μB per formula unit
**ρ**: 14.6 g cm⁻³
**Crystal system**: trigonal

Unit cell a=5.2572 b=5.2572 c=5.2572 alpha=85.19 beta=85.19 gamma=94.81
Closest atoms and distances in Å follow each position.
Sites, in units of the cell vectors:
Sc 0.2852 0.2852 0.7148  6 Pt 2.90-2.92, 6 Au 2.97-3.07
Sc 0.7148 0.7148 0.2852  6 Pt 2.90-2.92, 6 Au 2.97-3.07
Pt 0.2017 0.7983 0.5000  4 Au 2.66-2.94, 2 Pt 2.81, 4 Sc 2.90-2.92
Pt 0.5000 0.2017 0.2017  4 Au 2.66-2.94, 2 Pt 2.81, 4 Sc 2.90-2.92
Pt 0.7983 0.5000 0.7983  4 Au 2.66-2.94, 2 Pt 2.81, 4 Sc 2.90-2.92
Au 0.2519 0.7481 0.0000  4 Pt 2.66-2.94, 2 Sc 2.97
Au 0.0000 0.2519 0.2519  4 Pt 2.66-2.94, 2 Sc 2.97
Au 0.7481 0.0000 0.7481  4 Pt 2.66-2.94, 2 Sc 2.97